Below is a relaxed structure of CsTiGe2Mo, with properties calculated at the PBE level.

Properties
* energy of formation from the pure elements: 423 meV per atom

Cell: 5.067 5.067 4.939 Å, 90.00 90.00 90.00°
Fractional coordinates of all 5 atoms:
Cs 0.000 0.000 0.000
Ti 0.500 0.500 0.000
Ge 0.000 0.500 0.500
Ge 0.500 0.000 0.500
Mo 0.500 0.500 0.500